*1*
# Co2B2W | Alexandria | PBE | relaxed
# spin magnetization	0.00	μB/f.u.
# DOS at the Fermi energy	4.89	states/eV per cell
# space group	No. 127
# crystal system	tetragonal
data_Co2B2W
_cell_length_a 6.107
_cell_length_b 6.107
_cell_length_c 2.559
_cell_angle_alpha 90.00
_cell_angle_beta 90.00
_cell_angle_gamma 90.00
_space_group_name_H-M_alt 'P 1'
_space_group_IT_number 1
loop_
_space_group_symop_operation_xyz
'x,y,z'
loop_
_atom_site_label
_atom_site_fract_x
_atom_site_fract_y
_atom_site_fract_z
Co1 0.148 0.352 0.000
Co2 0.352 0.852 0.000
Co3 0.648 0.148 0.000
Co4 0.852 0.648 0.000
B1 0.142 0.642 0.500
B2 0.358 0.142 0.500
B3 0.642 0.858 0.500
B4 0.858 0.358 0.500
W1 0.000 0.000 0.500
W2 0.500 0.500 0.500


*2*
# Co2B2W | Alexandria | PBE | relaxed
# spin magnetization	0.00	μB/f.u.
# DOS at the Fermi energy	2.79	states/eV per cell
# space group	No. 139
# crystal system	tetragonal
data_Co2B2W
_cell_length_a 4.564
_cell_length_b 4.564
_cell_length_c 4.564
_cell_angle_alpha 133.83
_cell_angle_beta 133.83
_cell_angle_gamma 67.36
_space_group_name_H-M_alt 'P 1'
_space_group_IT_number 1
loop_
_space_group_symop_operation_xyz
'x,y,z'
loop_
_atom_site_label
_atom_site_fract_x
_atom_site_fract_y
_atom_site_fract_z
Co1 0.145 0.145 0.000
Co2 0.855 0.855 0.000
B1 0.250 0.750 0.500
B2 0.750 0.250 0.500
W1 0.500 0.500 0.000


*3*
# Co2B2W | Alexandria | PBE | relaxed
# spin magnetization	0.00	μB/f.u.
# DOS at the Fermi energy	5.10	states/eV per cell
# space group	No. 11
# crystal system	monoclinic
data_Co2B2W
_cell_length_a 3.616
_cell_length_b 3.226
_cell_length_c 8.153
_cell_angle_alpha 90.00
_cell_angle_beta 95.60
_cell_angle_gamma 90.00
_space_group_name_H-M_alt 'P 1'
_space_group_IT_number 1
loop_
_space_group_symop_operation_xyz
'x,y,z'
loop_
_atom_site_label
_atom_site_fract_x
_atom_site_fract_y
_atom_site_fract_z
Co1 0.154 0.250 0.101
Co2 0.250 0.750 0.497
Co3 0.750 0.250 0.503
Co4 0.846 0.750 0.899
B1 0.215 0.250 0.347
B2 0.364 0.750 0.984
B3 0.636 0.250 0.016
B4 0.785 0.750 0.653
W1 0.307 0.250 0.750
W2 0.693 0.750 0.250


Least stable structure: *2*


*1*
# CoB3W | Alexandria | PBE | relaxed
# spin magnetization	2.45	μB/f.u.
# DOS at the Fermi energy	2.26	states/eV per cell
# space group	No. 221
# crystal system	cubic
data_CoB3W
_cell_length_a 4.116
_cell_length_b 4.116
_cell_length_c 4.116
_cell_angle_alpha 90.00
_cell_angle_beta 90.00
_cell_angle_gamma 90.00
_space_group_name_H-M_alt 'P 1'
_space_group_IT_number 1
loop_
_space_group_symop_operation_xyz
'x,y,z'
loop_
_atom_site_label
_atom_site_fract_x
_atom_site_fract_y
_atom_site_fract_z
Co1 0.000 0.000 0.000
B1 0.000 0.500 0.500
B2 0.500 0.000 0.500
B3 0.500 0.500 0.000
W1 0.500 0.500 0.500


*2*
# CoB3W | Alexandria | PBE | relaxed
# spin magnetization	0.00	μB/f.u.
# DOS at the Fermi energy	0.98	states/eV per cell
# space group	No. 221
# crystal system	cubic
data_CoB3W
_cell_length_a 3.677
_cell_length_b 3.677
_cell_length_c 3.677
_cell_angle_alpha 90.00
_cell_angle_beta 90.00
_cell_angle_gamma 90.00
_space_group_name_H-M_alt 'P 1'
_space_group_IT_number 1
loop_
_space_group_symop_operation_xyz
'x,y,z'
loop_
_atom_site_label
_atom_site_fract_x
_atom_site_fract_y
_atom_site_fract_z
Co1 0.000 0.000 0.000
B1 0.000 0.000 0.500
B2 0.000 0.500 0.000
B3 0.500 0.000 0.000
W1 0.500 0.500 0.500


Least stable structure: *1*


*1*
# YCo3B3 | Alexandria | PBE | relaxed
# spin magnetization	0.00	μB/f.u.
# DOS at the Fermi energy	5.75	states/eV per cell
# space group	No. 223
# crystal system	cubic
data_YCo3B3
_cell_length_a 5.478
_cell_length_b 5.478
_cell_length_c 5.478
_cell_angle_alpha 90.00
_cell_angle_beta 90.00
_cell_angle_gamma 90.00
_space_group_name_H-M_alt 'P 1'
_space_group_IT_number 1
loop_
_space_group_symop_operation_xyz
'x,y,z'
loop_
_atom_site_label
_atom_site_fract_x
_atom_site_fract_y
_atom_site_fract_z
Y1 0.000 0.000 0.000
Y2 0.500 0.500 0.500
Co1 0.000 0.250 0.500
Co2 0.000 0.750 0.500
Co3 0.250 0.500 0.000
Co4 0.500 0.000 0.250
Co5 0.500 0.000 0.750
Co6 0.750 0.500 0.000
B1 0.000 0.500 0.250
B2 0.000 0.500 0.750
B3 0.250 0.000 0.500
B4 0.500 0.250 0.000
B5 0.500 0.750 0.000
B6 0.750 0.000 0.500


*2*
# YCo3B3 | Alexandria | PBE | relaxed
# spin magnetization	0.34	μB/f.u.
# DOS at the Fermi energy	17.70	states/eV per cell
# space group	No. 4
# crystal system	monoclinic
data_YCo3B3
_cell_length_a 6.592
_cell_length_b 6.663
_cell_length_c 7.311
_cell_angle_alpha 90.00
_cell_angle_beta 106.80
_cell_angle_gamma 90.00
_space_group_name_H-M_alt 'P 1'
_space_group_IT_number 1
loop_
_space_group_symop_operation_xyz
'x,y,z'
loop_
_atom_site_label
_atom_site_fract_x
_atom_site_fract_y
_atom_site_fract_z
Y1 0.142 0.000 0.097
Y2 0.289 0.552 0.619
Y3 0.711 0.052 0.381
Y4 0.858 0.500 0.903
Co1 0.083 0.182 0.694
Co2 0.083 0.334 0.285
Co3 0.285 0.663 0.972
Co4 0.327 0.960 0.500
Co5 0.439 0.373 0.160
Co6 0.471 0.707 0.321
Co7 0.529 0.207 0.679
Co8 0.561 0.873 0.840
Co9 0.673 0.460 0.500
Co10 0.715 0.163 0.028
Co11 0.917 0.682 0.306
Co12 0.917 0.834 0.715
B1 0.065 0.882 0.533
B2 0.185 0.601 0.215
B3 0.237 0.359 0.909
B4 0.242 0.909 0.773
B5 0.388 0.260 0.399
B6 0.394 0.149 0.889
B7 0.606 0.649 0.111
B8 0.612 0.760 0.601
B9 0.758 0.409 0.227
B10 0.763 0.859 0.091
B11 0.815 0.101 0.785
B12 0.935 0.382 0.467


Least stable structure: *1*


*1*
# YCo3B2 | Alexandria | PBE | relaxed
# spin magnetization	0.00	μB/f.u.
# DOS at the Fermi energy	3.64	states/eV per cell
# space group	No. 191
# crystal system	hexagonal
data_YCo3B2
_cell_length_a 5.005
_cell_length_b 5.005
_cell_length_c 3.021
_cell_angle_alpha 90.00
_cell_angle_beta 90.00
_cell_angle_gamma 120.00
_space_group_name_H-M_alt 'P 1'
_space_group_IT_number 1
loop_
_space_group_symop_operation_xyz
'x,y,z'
loop_
_atom_site_label
_atom_site_fract_x
_atom_site_fract_y
_atom_site_fract_z
Y1 0.000 0.000 0.000
Co1 0.000 0.500 0.500
Co2 0.500 0.000 0.500
Co3 0.500 0.500 0.500
B1 0.333 0.667 0.000
B2 0.667 0.333 0.000


*2*
# YCo3B2 | Alexandria | PBE | relaxed
# spin magnetization	2.29	μB/f.u.
# DOS at the Fermi energy	19.06	states/eV per cell
# space group	No. 191
# crystal system	hexagonal
data_YCo3B2
_cell_length_a 8.389
_cell_length_b 8.389
_cell_length_c 3.306
_cell_angle_alpha 90.00
_cell_angle_beta 90.00
_cell_angle_gamma 120.00
_space_group_name_H-M_alt 'P 1'
_space_group_IT_number 1
loop_
_space_group_symop_operation_xyz
'x,y,z'
loop_
_atom_site_label
_atom_site_fract_x
_atom_site_fract_y
_atom_site_fract_z
Y1 0.000 0.000 0.000
Y2 0.333 0.667 0.500
Y3 0.667 0.333 0.500
Co1 0.000 0.286 0.500
Co2 0.000 0.500 0.000
Co3 0.000 0.714 0.500
Co4 0.286 0.000 0.500
Co5 0.286 0.286 0.500
Co6 0.500 0.000 0.000
Co7 0.500 0.500 0.000
Co8 0.714 0.000 0.500
Co9 0.714 0.714 0.500
B1 0.187 0.375 0.000
B2 0.187 0.813 0.000
B3 0.375 0.187 0.000
B4 0.625 0.813 0.000
B5 0.813 0.187 0.000
B6 0.813 0.625 0.000


*3*
# YCo3B2 | Alexandria | PBE | relaxed
# spin magnetization	0.01	μB/f.u.
# DOS at the Fermi energy	9.20	states/eV per cell
# space group	No. 63
# crystal system	orthorhombic
data_YCo3B2
_cell_length_a 5.347
_cell_length_b 5.347
_cell_length_c 4.831
_cell_angle_alpha 90.00
_cell_angle_beta 90.00
_cell_angle_gamma 78.72
_space_group_name_H-M_alt 'P 1'
_space_group_IT_number 1
loop_
_space_group_symop_operation_xyz
'x,y,z'
loop_
_atom_site_label
_atom_site_fract_x
_atom_site_fract_y
_atom_site_fract_z
Y1 0.151 0.849 0.750
Y2 0.849 0.151 0.250
Co1 0.002 0.581 0.250
Co2 0.419 0.998 0.250
Co3 0.456 0.544 0.250
Co4 0.544 0.456 0.750
Co5 0.581 0.002 0.750
Co6 0.998 0.419 0.750
B1 0.293 0.293 0.000
B2 0.293 0.293 0.500
B3 0.707 0.707 0.000
B4 0.707 0.707 0.500


Least stable structure: *3*


*1*
# YCo4B | Alexandria | PBE | relaxed
# spin magnetization	3.68	μB/f.u.
# DOS at the Fermi energy	11.64	states/eV per cell
# space group	No. 63
# crystal system	orthorhombic
data_YCo4B
_cell_length_a 7.026
_cell_length_b 7.026
_cell_length_c 5.542
_cell_angle_alpha 90.00
_cell_angle_beta 90.00
_cell_angle_gamma 146.56
_space_group_name_H-M_alt 'P 1'
_space_group_IT_number 1
loop_
_space_group_symop_operation_xyz
'x,y,z'
loop_
_atom_site_label
_atom_site_fract_x
_atom_site_fract_y
_atom_site_fract_z
Y1 0.095 0.905 0.750
Y2 0.905 0.095 0.250
Co1 0.131 0.869 0.250
Co2 0.293 0.707 0.002
Co3 0.293 0.707 0.498
Co4 0.500 0.500 0.000
Co5 0.500 0.500 0.500
Co6 0.707 0.293 0.502
Co7 0.707 0.293 0.998
Co8 0.869 0.131 0.750
B1 0.397 0.603 0.750
B2 0.603 0.397 0.250


*2*
# YCo4B | Alexandria | PBE | relaxed
# spin magnetization	3.66	μB/f.u.
# DOS at the Fermi energy	15.17	states/eV per cell
# space group	No. 191
# crystal system	hexagonal
data_YCo4B
_cell_length_a 5.008
_cell_length_b 5.008
_cell_length_c 6.834
_cell_angle_alpha 90.00
_cell_angle_beta 90.00
_cell_angle_gamma 120.00
_space_group_name_H-M_alt 'P 1'
_space_group_IT_number 1
loop_
_space_group_symop_operation_xyz
'x,y,z'
loop_
_atom_site_label
_atom_site_fract_x
_atom_site_fract_y
_atom_site_fract_z
Y1 0.000 0.000 0.000
Y2 0.000 0.000 0.500
Co1 0.000 0.500 0.212
Co2 0.000 0.500 0.788
Co3 0.333 0.667 0.500
Co4 0.500 0.000 0.212
Co5 0.500 0.000 0.788
Co6 0.500 0.500 0.212
Co7 0.500 0.500 0.788
Co8 0.667 0.333 0.500
B1 0.333 0.667 0.000
B2 0.667 0.333 0.000


Least stable structure: *1*


*1*
# ZrCo3B2 | Alexandria | PBE | relaxed
# spin magnetization	1.78	μB/f.u.
# DOS at the Fermi energy	17.61	states/eV per cell
# space group	No. 191
# crystal system	hexagonal
data_ZrCo3B2
_cell_length_a 8.135
_cell_length_b 8.135
_cell_length_c 3.287
_cell_angle_alpha 90.00
_cell_angle_beta 90.00
_cell_angle_gamma 120.00
_space_group_name_H-M_alt 'P 1'
_space_group_IT_number 1
loop_
_space_group_symop_operation_xyz
'x,y,z'
loop_
_atom_site_label
_atom_site_fract_x
_atom_site_fract_y
_atom_site_fract_z
Zr1 0.000 0.000 0.000
Zr2 0.333 0.667 0.500
Zr3 0.667 0.333 0.500
Co1 0.000 0.285 0.500
Co2 0.000 0.500 0.000
Co3 0.000 0.715 0.500
Co4 0.285 0.000 0.500
Co5 0.285 0.285 0.500
Co6 0.500 0.000 0.000
Co7 0.500 0.500 0.000
Co8 0.715 0.000 0.500
Co9 0.715 0.715 0.500
B1 0.192 0.384 0.000
B2 0.192 0.808 0.000
B3 0.384 0.192 0.000
B4 0.616 0.808 0.000
B5 0.808 0.192 0.000
B6 0.808 0.616 0.000


*2*
# ZrCo3B2 | Alexandria | PBE | relaxed
# spin magnetization	0.00	μB/f.u.
# DOS at the Fermi energy	8.88	states/eV per cell
# space group	No. 166
# crystal system	trigonal
data_ZrCo3B2
_cell_length_a 5.719
_cell_length_b 5.719
_cell_length_c 5.719
_cell_angle_alpha 94.75
_cell_angle_beta 94.75
_cell_angle_gamma 94.75
_space_group_name_H-M_alt 'P 1'
_space_group_IT_number 1
loop_
_space_group_symop_operation_xyz
'x,y,z'
loop_
_atom_site_label
_atom_site_fract_x
_atom_site_fract_y
_atom_site_fract_z
Zr1 0.000 0.000 0.000
Zr2 0.330 0.330 0.330
Zr3 0.670 0.670 0.670
Co1 0.000 0.000 0.500
Co2 0.000 0.500 0.000
Co3 0.196 0.694 0.694
Co4 0.306 0.306 0.804
Co5 0.306 0.804 0.306
Co6 0.500 0.000 0.000
Co7 0.694 0.196 0.694
Co8 0.694 0.694 0.196
Co9 0.804 0.306 0.306
B1 0.000 0.376 0.624
B2 0.000 0.624 0.376
B3 0.376 0.000 0.624
B4 0.376 0.624 0.000
B5 0.624 0.000 0.376
B6 0.624 0.376 0.000


Least stable structure: *1*